A relaxed RbTiTe2P crystal, computed with PBE.

Summary:
N(E_F)   11.3 states/eV per cell
Formation energy (no corrections)   0.78 eV per atom

Cell lengths 5.4560, 5.4869, 5.4560 Å; angles 90.00, 90.00, 90.00 degrees
Closest atoms and distances in Å follow each position.
Fractional coordinates of all 5 atoms:
Rb 0.0000 0.5000 0.0000  2 P 2.74
Ti 0.5000 0.5000 0.5000  4 Rb 3.86, 8 Te 3.87
Te 0.0000 0.0000 0.5000  2 P 2.73
Te 0.5000 0.0000 0.0000  2 P 2.73
P 0.0000 0.0000 0.0000  4 Te 2.73, 2 Rb 2.74

A relaxed TlSiW crystal, computed with PBE.

Summary:
Distance to the lowest polymorph of the same formula   169 meV per atom
N(E_F)   0.7 states/eV per cell
Formation energy (no corrections)   0.69 eV per atom

Cell lengths 4.2560, 4.2560, 3.6711 Å; angles 90.00, 90.00, 120.00 degrees
Closest atoms and distances in Å follow each position.
Fractional coordinates of all 3 atoms:
W 0.3333 0.6667 0.8334  3 Si 2.46
Si 0.0000 0.0000 0.8332  3 W 2.46
Tl 0.6667 0.3333 0.3334  6 Si 3.07, 6 W 3.07